Entry from Alexandria via LeMat-Bulk: VSnO3 after structural relaxation (PBE with a Hubbard U).

Final energy (eV/atom): -6.7241

a b c (Å): 3.295 5.070 8.237
angles (deg): 90.00 101.54 90.00
Last column: magnetic moment on the atom in μB.
Sites, in units of the cell vectors:
V  0.304  0.750  0.609  1.09
V  0.696  0.250  0.391  1.09
Sn  0.912  0.250  0.824  0.00
Sn  0.088  0.750  0.176  0.00
O  0.806  0.004  0.613  -0.02
O  0.194  0.504  0.387  -0.02
O  0.588  0.250  0.175  -0.10
O  0.194  0.996  0.387  -0.02
O  0.806  0.496  0.613  -0.02
O  0.412  0.750  0.825  -0.10